Record 1
CeTm2Ga | the Alexandria database | PBE-GGA | relaxed; DOS at the Fermi energy = 1.350 states/eV/atom; energy = -4.50 eV per atom; energy of formation = -27.4 meV per atom; space group = Fm-3m, No. 225; energy relative to the lowest polymorph listed for this composition = 226 meV/atom
1.0
5.187 0.000 0.000
2.594 4.492 0.000
2.594 1.497 4.236
Tm Ga Ce
2 1 1
Direct
0.250 0.250 0.250 Tm
0.750 0.750 0.750 Tm
0.000 0.000 0.000 Ga
0.500 0.500 0.500 Ce

Record 2
CeTm2Ga | the Alexandria database | PBE-GGA | relaxed; DOS at the Fermi energy = 1.876 states/eV/atom; energy = -4.68 eV per atom; energy of formation = -207.7 meV per atom; space group = P4/mmm, No. 123; energy relative to the lowest polymorph listed for this composition = 45 meV/atom
1.0
-2.944 0.739 -3.353
-3.580 -0.831 2.960
-0.133 4.580 1.126
Tm Ga Ce
2 1 1
Direct
0.000 0.000 0.500 Tm
0.000 0.500 0.000 Tm
0.500 0.000 0.000 Ga
0.500 0.500 0.500 Ce

Record 3
Ce2Tm2ZnGa4 | the Alexandria database | PBE-GGA | relaxed; DOS at the Fermi energy = 1.309 states/eV/atom; energy = -4.01 eV per atom; energy of formation = -208.9 meV per atom; space group = I4/mmm, No. 139
1.0
-1.023 4.286 4.851
-4.988 -4.124 -1.034
4.842 -4.262 1.161
Ce Tm Zn Ga
2 2 1 4
Direct
0.000 0.666 0.666 Ce
0.000 0.334 0.334 Ce
0.500 0.750 0.250 Tm
0.500 0.250 0.750 Tm
0.000 0.000 0.000 Zn
0.000 0.764 0.236 Ga
0.527 0.764 0.764 Ga
0.000 0.236 0.764 Ga
0.473 0.236 0.236 Ga

Record 4
CeTmZnGa | the Alexandria database | PBE-GGA | relaxed; DOS at the Fermi energy = 1.527 states/eV/atom; energy = -4.09 eV per atom; energy of formation = -415.8 meV per atom; space group = F-43m, No. 216
1.0
5.055 0.000 0.000
2.528 4.378 0.000
2.528 1.459 4.128
Zn Tm Ga Ce
1 1 1 1
Direct
0.750 0.750 0.750 Zn
0.500 0.500 0.500 Tm
0.250 0.250 0.250 Ga
0.000 0.000 0.000 Ce

Record 5
Ce2TmZn2Ga2 | the Alexandria database | PBE-GGA | relaxed; DOS at the Fermi energy = 1.304 states/eV/atom; energy = -3.97 eV per atom; energy of formation = -406.4 meV per atom; space group = R-3m, No. 166
1.0
-0.822 -2.174 -3.655
-1.200 -4.158 0.176
-9.245 0.381 -0.714
Ce Tm Zn Ga
2 1 2 2
Direct
0.141 0.141 0.577 Ce
0.859 0.859 0.423 Ce
0.000 0.000 0.000 Tm
0.600 0.600 0.201 Zn
0.400 0.400 0.799 Zn
0.734 0.734 0.797 Ga
0.266 0.266 0.203 Ga

Record 6
CeTmZn2Ga2 | the Alexandria database | PBE-GGA | relaxed; DOS at the Fermi energy = 1.277 states/eV/atom; energy = -3.67 eV per atom; energy of formation = -502.8 meV per atom; space group = P-3m1, No. 164
1.0
4.415 0.000 0.000
-2.207 3.823 0.000
0.000 0.000 7.336
Ce Tm Zn Ga
1 1 2 2
Direct
0.000 0.000 0.000 Ce
0.000 0.000 0.500 Tm
0.333 0.667 0.724 Zn
0.667 0.333 0.276 Zn
0.333 0.667 0.261 Ga
0.667 0.333 0.739 Ga

Record 7
Ce2UGa | the Alexandria database | PBE-GGA | relaxed; DOS at the Fermi energy = 2.848 states/eV/atom; energy = -6.58 eV per atom; energy of formation = -37.6 meV per atom; space group = P4/mmm, No. 123; energy relative to the lowest polymorph listed for this composition = 0 meV/atom
1.0
4.423 0.000 0.000
0.000 4.612 0.000
0.000 0.000 4.612
U Ga Ce
1 1 2
Direct
0.500 0.500 0.500 U
0.500 0.000 0.000 Ga
0.000 0.000 0.500 Ce
0.000 0.500 0.000 Ce

Record 8
Ce3UGa12 | the Alexandria database | PBE-GGA | relaxed; DOS at the Fermi energy = 1.191 states/eV/atom; energy = -4.52 eV per atom; energy of formation = -434.1 meV per atom; space group = P4/mmm, No. 123
1.0
-3.447 1.253 -2.283
1.485 -2.166 -3.430
-8.582 -14.127 5.203
Ce U Ga
3 1 12
Direct
0.000 0.000 0.248 Ce
0.000 0.000 0.500 Ce
0.000 0.000 0.752 Ce
0.000 0.000 0.000 U
0.500 0.500 0.000 Ga
0.500 0.500 0.249 Ga
0.500 0.500 0.500 Ga
0.500 0.500 0.751 Ga
0.500 0.000 0.122 Ga
0.500 0.000 0.374 Ga
0.500 0.000 0.626 Ga
0.500 0.000 0.878 Ga
0.000 0.500 0.122 Ga
0.000 0.500 0.374 Ga
0.000 0.500 0.626 Ga
0.000 0.500 0.878 Ga

Record 9
Ce2UGa | the Alexandria database | PBE-GGA | relaxed; DOS at the Fermi energy = 2.884 states/eV/atom; energy = -6.55 eV per atom; energy of formation = -4.4 meV per atom; space group = P4/mmm, No. 123; energy relative to the lowest polymorph listed for this composition = 33 meV/atom
1.0
-2.546 -1.594 -2.228
2.735 -1.650 -1.946
-0.273 -5.269 4.083
U Ga Ce
1 1 2
Direct
0.500 0.500 0.000 U
0.500 0.500 0.500 Ga
0.000 0.000 0.745 Ce
0.000 0.000 0.255 Ce

Record 10
CeU2Ga9 | the Alexandria database | PBE-GGA | relaxed; DOS at the Fermi energy = 1.214 states/eV/atom; energy = -4.97 eV per atom; energy of formation = -323.0 meV per atom; space group = P4/mmm, No. 123
1.0
-3.021 0.604 2.986
2.207 -2.465 2.731
6.309 10.393 4.282
Ce U Ga
1 2 9
Direct
0.000 0.000 0.000 Ce
0.000 0.000 0.336 U
0.000 0.000 0.664 U
0.500 0.500 0.000 Ga
0.500 0.500 0.335 Ga
0.500 0.500 0.665 Ga
0.500 0.000 0.171 Ga
0.500 0.000 0.500 Ga
0.500 0.000 0.829 Ga
0.000 0.500 0.171 Ga
0.000 0.500 0.500 Ga
0.000 0.500 0.829 Ga

Record 11
CeU4Ga15 | the Alexandria database | PBE-GGA | relaxed; DOS at the Fermi energy = 1.295 states/eV/atom; energy = -5.11 eV per atom; energy of formation = -283.1 meV per atom; space group = P4/mmm, No. 123
1.0
-2.428 -3.065 -1.724
2.405 -2.976 1.903
-12.880 0.558 17.148
Ce U Ga
1 4 15
Direct
0.000 0.000 0.000 Ce
0.000 0.000 0.202 U
0.000 0.000 0.400 U
0.000 0.000 0.600 U
0.000 0.000 0.798 U
0.500 0.500 0.000 Ga
0.500 0.500 0.202 Ga
0.500 0.500 0.401 Ga
0.500 0.500 0.599 Ga
0.500 0.500 0.798 Ga
0.500 0.000 0.103 Ga
0.500 0.000 0.301 Ga
0.500 0.000 0.500 Ga
0.500 0.000 0.699 Ga
0.500 0.000 0.897 Ga
0.000 0.500 0.103 Ga
0.000 0.500 0.301 Ga
0.000 0.500 0.500 Ga
0.000 0.500 0.699 Ga
0.000 0.500 0.897 Ga

Record 12
CeUGa4 | the Alexandria database | PBE-GGA | relaxed; DOS at the Fermi energy = 2.064 states/eV/atom; energy = -5.21 eV per atom; energy of formation = -324.3 meV per atom; space group = F-43m, No. 216
1.0
-0.333 0.756 -5.450
3.580 -2.513 -3.355
-1.694 -4.114 -3.255
U Ga Ce
1 4 1
Direct
0.000 0.000 0.000 U
0.625 0.625 0.124 Ga
0.625 0.124 0.625 Ga
0.625 0.625 0.625 Ga
0.124 0.625 0.625 Ga
0.250 0.250 0.250 Ce

Record 13
Ce2UGa | the Alexandria database | PBE-GGA | relaxed; DOS at the Fermi energy = 3.428 states/eV/atom; energy = -6.48 eV per atom; energy of formation = 64.6 meV per atom; space group = Fm-3m, No. 225; energy relative to the lowest polymorph listed for this composition = 102 meV/atom
1.0
5.116 0.000 0.000
2.558 4.431 0.000
2.558 1.477 4.177
U Ga Ce
1 1 2
Direct
0.000 0.000 0.000 U
0.500 0.500 0.500 Ga
0.250 0.250 0.250 Ce
0.750 0.750 0.750 Ce

Record 14
Ce2UGa | the Alexandria database | PBE-GGA | relaxed; DOS at the Fermi energy = 2.586 states/eV/atom; energy = -6.49 eV per atom; energy of formation = 58.3 meV per atom; space group = R-3m, No. 166; energy relative to the lowest polymorph listed for this composition = 96 meV/atom
1.0
-1.737 -2.087 1.409
-2.065 -1.599 -1.593
6.451 -9.083 -2.180
U Ga Ce
1 1 2
Direct
0.000 0.000 0.000 U
0.500 0.500 0.500 Ga
0.754 0.754 0.738 Ce
0.246 0.246 0.262 Ce

Record 15
Ce2VGa5 | the Alexandria database | PBE-GGA | relaxed; DOS at the Fermi energy = 1.384 states/eV/atom; energy = -4.84 eV per atom; energy of formation = -326.9 meV per atom; space group = I4mm, No. 107
1.0
-2.256 -0.710 5.682
3.329 -4.554 -2.460
4.509 4.089 -0.911
Ce V Ga
2 1 5
Direct
0.500 0.252 0.752 Ce
0.500 0.752 0.252 Ce
0.000 0.963 0.963 V
0.425 0.711 0.711 Ga
0.000 0.711 0.286 Ga
0.000 0.286 0.711 Ga
0.575 0.286 0.286 Ga
0.000 0.261 0.261 Ga

Record 16
CeVGa6 | the Alexandria database | PBE-GGA | relaxed; DOS at the Fermi energy = 0.741 states/eV/atom; energy = -4.36 eV per atom; energy of formation = -206.4 meV per atom; space group = C2/m, No. 12
1.0
4.848 -1.702 1.060
-1.333 4.962 1.060
1.725 1.600 7.692
Ce V Ga
1 1 6
Direct
0.500 0.500 0.500 Ce
0.000 0.000 0.000 V
0.279 0.779 0.222 Ga
0.779 0.279 0.222 Ga
0.221 0.721 0.778 Ga
0.721 0.221 0.778 Ga
0.279 0.279 0.221 Ga
0.721 0.721 0.779 Ga

Record 17
Ce2GaW | the Alexandria database | PBE-GGA | relaxed; DOS at the Fermi energy = 1.507 states/eV/atom; energy = -6.60 eV per atom; energy of formation = 358.3 meV per atom; space group = R-3m, No. 166
1.0
-1.069 -2.708 -0.645
-1.047 -1.747 2.177
-10.725 2.799 -0.871
Ga Ce W
1 2 1
Direct
0.500 0.500 0.500 Ga
0.085 0.085 0.745 Ce
0.915 0.915 0.255 Ce
0.000 0.000 0.000 W

Record 18
Ce2YGa | the Alexandria database | PBE-GGA | relaxed; DOS at the Fermi energy = 2.386 states/eV/atom; energy = -5.52 eV per atom; energy of formation = -178.9 meV per atom; space group = P4/mmm, No. 123; energy relative to the lowest polymorph listed for this composition = 128 meV/atom
1.0
3.901 0.000 0.000
0.000 3.901 0.000
0.000 0.000 7.248
Y Ga Ce
1 1 2
Direct
0.500 0.500 0.500 Y
0.500 0.500 0.000 Ga
0.000 0.000 0.808 Ce
0.000 0.000 0.192 Ce

Record 19
Ce4Y3Ga4 | the Alexandria database | PBE-GGA | relaxed; DOS at the Fermi energy = 1.707 states/eV/atom; energy = -5.41 eV per atom; energy of formation = -390.4 meV per atom; space group = Immm, No. 71
1.0
-0.569 -0.523 -3.408
8.639 -0.892 -1.307
-4.745 -8.406 3.875
Ce Y Ga
4 3 4
Direct
0.334 0.174 0.668 Ce
0.666 0.506 0.332 Ce
0.666 0.826 0.332 Ce
0.334 0.494 0.668 Ce
0.093 0.093 0.187 Y
0.907 0.907 0.813 Y
0.000 0.500 0.000 Y
0.280 0.780 0.560 Ga
0.720 0.220 0.440 Ga
0.500 0.779 0.000 Ga
0.500 0.221 0.000 Ga

Record 20
CeYGa3 | the Alexandria database | PBE-GGA | relaxed; DOS at the Fermi energy = 1.345 states/eV/atom; energy = -4.92 eV per atom; energy of formation = -622.7 meV per atom; space group = Cmcm, No. 63
1.0
-1.302 3.444 1.990
-3.402 -2.143 1.483
8.421 -2.397 9.658
Ce Y Ga
2 2 6
Direct
0.250 0.073 0.146 Ce
0.750 0.927 0.854 Ce
0.250 0.796 0.593 Y
0.750 0.204 0.407 Y
0.250 0.380 0.760 Ga
0.750 0.620 0.240 Ga
0.250 0.476 0.951 Ga
0.750 0.524 0.049 Ga
0.750 0.323 0.646 Ga
0.250 0.677 0.354 Ga